# 1
KHg2SbO4, relaxed, DFT PBE; space group = I222; formation energy from raw total energies = -7.148 eV/f.u.
1.0
-3.0371 3.4843 3.6508
3.0371 -3.4843 3.6508
3.0371 3.4843 -3.6508
K Hg Sb O
1 2 1 4
direct
0.0000 0.0000 0.0000
0.1885 0.6885 0.5000
0.8115 0.3115 0.5000
0.5000 0.5000 0.0000
0.1955 0.1505 0.6622
0.4883 0.5333 0.3378
0.5117 0.8495 0.0450
0.8045 0.4667 0.9550



# 2
K3HgSe2O8, relaxed, DFT PBE; space group = P-3m1; formation energy from raw total energies = -15.430 eV/f.u.
1.0
6.1168 0.0000 0.0000
-3.0584 5.2973 0.0000
0.0000 0.0000 7.9091
K Hg Se O
3 1 2 8
direct
0.0000 0.0000 0.0000
0.3333 0.6667 0.6729
0.6667 0.3333 0.3271
0.0000 0.0000 0.5000
0.3333 0.6667 0.2098
0.6667 0.3333 0.7902
0.1833 0.3666 0.2859
0.1833 0.8167 0.2859
0.3333 0.6667 0.0000
0.3666 0.1833 0.7141
0.6334 0.8167 0.2859
0.6667 0.3333 0.0000
0.8167 0.1833 0.7141
0.8167 0.6334 0.7141



# 3
K2HgSeO4, relaxed, DFT PBE; space group = I-4; formation energy from raw total energies = -9.073 eV/f.u.
1.0
-3.6798 3.6798 3.4888
3.6798 -3.6798 3.4888
3.6798 3.6798 -3.4888
K Hg Se O
2 1 1 4
direct
0.0000 0.0000 0.0000
0.7500 0.2500 0.5000
0.5000 0.5000 0.0000
0.2500 0.7500 0.5000
0.0255 0.4418 0.2545
0.1874 0.7710 0.7455
0.2290 0.9745 0.4164
0.5582 0.8126 0.5836